Below is TaTlRu2C after structural relaxation, with properties calculated at the PBE level.

POSCAR file:
```
TaTlRu2C
1.0
4.9350 0.0000 0.0000
0.0000 5.1652 0.0000
0.0000 0.0000 4.9350
Ru Tl C Ta
2 1 1 1
Cartesian
0.0000 0.0000 2.4675
2.4675 0.0000 0.0000
0.0000 0.0000 0.0000
2.4675 2.5826 2.4675
0.0000 2.5826 0.0000
```

## Properties
VASP energy   -4.73 eV/atom

---

Below is CaThI6 after structural relaxation, with properties calculated at the PBE level.

POSCAR file:
```
CaThI6
1.0
3.8770 -6.7151 0.0000
3.8770 6.7151 0.0000
0.0000 0.0000 14.2548
Ca Th I
2 2 12
Cartesian
3.8770 -2.2384 10.6911
3.8770 2.2384 3.5637
0.0000 0.0000 7.1274
0.0000 0.0000 0.0000
2.6140 -4.5167 8.8803
5.1400 4.5167 5.3744
6.4816 -2.1930 8.8803
5.2186 -0.0054 12.5018
1.2724 2.1930 5.3744
2.5354 0.0054 1.7530
2.5354 -0.0054 8.8803
5.1400 -4.5167 12.5018
5.2186 0.0054 5.3744
2.6140 4.5167 1.7530
1.2724 -2.1930 12.5018
6.4816 2.1930 1.7530
```

## Properties
E_form (uncorrected)   -1322.1 meV/atom
Energy above the lowest structure with this stoichiometry   0.022 eV/atom

---

Below is Pr3AsP2Pt9 after structural relaxation, with properties calculated at the PBE level.

POSCAR file:
```
Pr3AsP2Pt9
1.0
-2.2798 2.8553 5.3458
0.3202 -6.4585 -0.3354
7.8433 0.2213 3.2267
Pr As P Pt
3 1 2 9
Cartesian
4.6199 -3.2082 3.6837
0.0000 0.0000 0.0000
1.2638 -0.1738 4.5534
3.9216 0.1106 1.6133
0.8455 -3.3147 2.1310
5.0382 -0.0673 6.1061
3.6855 1.6037 6.7788
3.8604 -1.9241 6.5956
4.9308 0.0441 3.8587
0.9529 -3.4260 4.3784
2.0233 -1.4578 1.6415
2.1982 -4.9857 1.4583
-1.1399 1.4276 2.6729
0.1601 -3.2293 -0.1677
-0.9798 -1.8016 2.5052
```

## Properties
VASP energy   -6.31 eV/atom

---

Below is Zn3As2O8 after structural relaxation, with properties calculated at the PBE level.

POSCAR file:
```
Zn3As2O8
1.0
-6.1232 -5.9487 -1.4211
3.6839 -3.8587 0.2794
1.8098 -3.7766 8.0107
Zn As O
6 4 16
Cartesian
1.1009 -3.1000 0.8125
-1.2979 -7.2964 2.3615
-1.7305 -10.4840 6.0564
0.6683 -6.2877 4.5074
2.7468 -3.8177 4.1450
-1.2197 -4.9037 -0.5709
1.5847 -5.8392 1.3608
-3.8342 -6.5511 1.3368
-2.2143 -7.7448 5.5081
3.2046 -7.0329 5.5321
3.7578 -6.3819 7.0316
-1.2321 -6.9041 4.3650
-4.3874 -7.2021 -0.1627
0.6025 -6.6799 2.5040
0.6986 -4.3168 4.7397
0.2404 -10.5107 6.2886
-1.3282 -9.2672 2.1292
-0.8700 -3.0733 0.5803
2.9759 -5.8333 4.3210
-1.3292 -8.3068 6.8716
2.1305 -4.3330 2.0415
-2.2104 -5.9496 1.1597
-2.7601 -9.2511 4.8274
1.5808 -7.6344 5.7092
0.6997 -5.2773 -0.0027
-3.6055 -7.7507 2.5480
```

## Properties
E_form (uncorrected)   -1339.6 meV/atom

---

Below is Tb4ZnCuRu2 after structural relaxation, with properties calculated at the PBE level.

POSCAR file:
```
Tb4ZnCuRu2
1.0
-4.3993 -0.0182 2.1624
-2.8689 -3.9625 -0.3137
0.8870 -4.2545 7.3252
Tb Zn Cu Ru
4 1 1 2
Cartesian
-1.9681 -5.1990 7.0650
-6.0149 -5.0894 4.3893
-0.3664 -3.1458 4.7845
-4.4131 -3.0363 2.1089
0.0000 0.0000 0.0000
-3.1906 -4.1176 4.5869
-4.7780 -6.1834 6.8964
-1.6032 -2.0518 2.2774
```

## Properties
VASP energy   -5.63 eV/atom

---

Below is CaPr2Sm after structural relaxation, with properties calculated at the PBE level.

POSCAR file:
```
CaPr2Sm
1.0
3.7055 0.0000 0.0000
0.0000 3.7055 0.0000
0.0000 0.0000 10.6796
Pr Ca Sm
2 1 1
Cartesian
0.0000 0.0000 8.1658
0.0000 0.0000 2.5138
1.8527 1.8527 5.3398
1.8527 1.8527 0.0000
```

## Properties
Energy above the lowest structure with this stoichiometry   0.008 eV/atom

---

Below is Ta2TiC2 after structural relaxation, with properties calculated at the PBE level.

POSCAR file:
```
Ta2TiC2
1.0
-2.7935 0.5935 -1.3050
-1.9655 -0.6201 3.9252
1.0055 8.9431 1.9149
Ta Ti C
4 2 4
Cartesian
-0.4371 6.6894 2.0892
-0.7801 3.6361 1.4349
-2.9734 5.2804 3.1001
-3.3164 2.2271 2.4458
-2.6466 8.1853 3.7217
-1.1069 0.7312 0.8133
-1.9965 5.5378 1.1263
-2.3475 2.4135 0.4566
-1.4060 6.5030 4.0784
-1.7569 3.3787 3.4087
```

## Properties
Energy above the lowest structure with this stoichiometry   0.084 eV/atom

---

Below is SrSeBr2 after structural relaxation, with properties calculated at the PBE level.

POSCAR file:
```
SrSeBr2
1.0
-2.7323 -2.2940 -4.1771
1.8432 -4.6545 -2.2616
-2.7428 -4.6981 0.7621
Br Se Sr
2 1 1
Cartesian
0.0000 0.0000 0.0000
-0.9080 -2.9116 -1.4191
-1.8159 -5.8233 -2.8383
-2.7239 -8.7349 -4.2574
```

## Properties
E_form (uncorrected)   -841.4 meV/atom
Energy above the lowest structure with this stoichiometry   0.476 eV/atom

---

Below is Ca3Si2Au7 after structural relaxation, with properties calculated at the PBE level.

POSCAR file:
```
Ca3Si2Au7
1.0
-1.9209 2.5492 -2.8724
0.8217 -2.8645 -3.0917
-11.4452 -6.0216 5.5195
Ca Si Au
3 2 7
Cartesian
-7.8566 -4.0474 1.6620
-4.6878 -2.2895 -2.1067
-0.5496 -0.1577 -2.9821
-3.0798 -1.5866 0.6515
-9.4646 -4.7503 -1.0961
0.0000 0.0000 0.0000
-11.0100 -3.9025 0.6897
-9.6387 -6.6094 0.5801
-1.5345 -2.4344 -1.1343
-2.9057 0.2725 -1.0247
-5.2300 -2.6943 1.1064
-7.3145 -3.6426 -1.5510
```

## Properties
E_form (uncorrected)   -505.5 meV/atom
Energy above the lowest structure with this stoichiometry   0.066 eV/atom

---

Below is Ba3CdRh2O9 after structural relaxation, with properties calculated at the PBE level.

POSCAR file:
```
Ba3CdRh2O9
1.0
-1.1910 -0.9015 5.6796
2.5643 -4.2270 -3.1694
6.5200 2.6186 1.7828
Ba Cd Rh O
3 1 2 9
Cartesian
5.6566 -1.3738 0.9681
0.0000 0.0000 0.0000
2.2368 -1.1360 3.3249
3.2600 1.3093 0.8914
2.3561 -2.6994 0.0656
5.5372 0.1895 4.2274
3.9380 0.3033 5.3349
5.1413 -1.6802 3.8476
4.4969 0.7263 2.6697
3.3965 -3.2362 1.6233
2.7520 -0.8296 0.4454
3.9554 -2.8132 -1.0418
-0.5955 -0.4507 2.8398
1.2822 -2.1135 -1.5847
0.6867 -2.5642 1.2551
```

## Properties
E_form (uncorrected)   -1554.8 meV/atom

---

Below is Ba3InHg2Pb6 after structural relaxation, with properties calculated at the PBE level.

POSCAR file:
```
Ba3InHg2Pb6
1.0
6.8134 0.0000 0.0000
-3.4067 5.9006 0.0000
0.0000 0.0000 10.7734
Ba In Hg Pb
3 1 2 6
Cartesian
0.0000 3.9337 6.3729
3.4067 1.9669 4.4005
0.0000 0.0000 0.0000
0.0000 0.0000 5.3867
3.4067 1.9669 0.6577
0.0000 3.9337 10.1157
1.6497 4.8862 2.9392
0.0000 2.0288 2.9392
-1.6497 4.8862 2.9392
3.4067 3.8718 7.8342
1.7570 1.0144 7.8342
5.0564 1.0144 7.8342
```

## Properties
VASP energy   -2.91 eV/atom

---

Below is NdDy2Ho3S6 after structural relaxation, with properties calculated at the PBE level.

POSCAR file:
```
NdDy2Ho3S6
1.0
-6.6559 0.7879 -1.1185
2.3212 -0.8754 6.3261
2.0920 6.3769 -1.0979
Nd Dy Ho S
1 2 3 6
Cartesian
0.0000 0.0000 0.0000
-0.6777 -0.3198 3.8391
-3.6570 0.2323 1.3684
1.9091 2.5832 4.5679
-4.1518 3.7062 -0.4583
-1.1214 3.1447 2.0548
-3.2046 4.9522 1.7793
-2.6871 1.5600 3.5888
0.9619 1.3372 2.3303
-0.1308 4.3827 4.3284
0.4444 4.7294 0.5208
-2.1119 1.9068 -0.2188
```

## Properties
E_form (uncorrected)   -1990.7 meV/atom